# 1
The following is a DFT calculation (PBE) of an optimized crystal structure of KLaHfTi2.

Cell: 5.190 5.190 5.877 Å, 90.00 90.00 90.00°
Atoms (fractional coordinates):
K 0.000 0.000 0.000
La 0.500 0.500 0.000
Hf 0.500 0.500 0.500
Ti 0.000 0.500 0.500
Ti 0.500 0.000 0.500

Computed properties:
* formation energy from the elements: 1040 meV per atom
* symmetry: P4/mmm (123)

---

# 2
The following is a DFT calculation (PBE) of an optimized crystal structure of SrZr2Te.

Cell: 6.808 6.808 6.808 Å, 150.15 133.66 56.10°
Atoms (fractional coordinates):
Sr 0.000 0.000 0.000
Zr 0.288 0.788 0.500
Zr 0.712 0.212 0.500
Te 0.500 0.500 0.000

Computed properties:
* symmetry: Immm (71)

---

# 3
The following is a DFT calculation (PBE) of an optimized crystal structure of HfZrCoNi.

Cell: 4.068 5.163 5.163 Å, 37.09 90.00 90.00°
Atoms (fractional coordinates):
Hf 0.000 0.000 0.000
Zr 0.500 0.281 0.281
Co 0.000 0.726 0.726
Ni 0.500 0.557 0.557

Computed properties:
* formation energy from the elements: -434 meV per atom
* energy above the most stable polymorph in this dataset: 0.000 eV per atom
* symmetry: Amm2 (38)

---

# 4
The following is a DFT calculation (PBE) of an optimized crystal structure of BeH3Pd.

Cell: 3.235 3.235 3.235 Å, 90.00 90.00 90.00°
Atoms (fractional coordinates):
Be 0.000 0.000 0.000
H 0.000 0.000 0.500
H 0.000 0.500 0.000
H 0.500 0.000 0.000
Pd 0.500 0.500 0.500

Computed properties:
* energy above the most stable polymorph in this dataset: 0.000 eV per atom
* symmetry: Pm-3m (221)

---

# 5
The following is a DFT calculation (PBE) of an optimized crystal structure of Pm2ErSc2.

Cell: 7.906 7.906 5.769 Å, 103.26 103.26 107.07°
Atoms (fractional coordinates):
Pm 0.099 0.269 0.373
Pm 0.269 0.099 0.873
Pm 0.731 0.901 0.127
Pm 0.901 0.731 0.627
Er 0.432 0.568 0.250
Er 0.568 0.432 0.750
Sc 0.169 0.831 0.250
Sc 0.306 0.694 0.750
Sc 0.694 0.306 0.250
Sc 0.831 0.169 0.750

Computed properties:
* formation energy from the elements: 335 meV per atom
* energy above the most stable polymorph in this dataset: 0.204 eV per atom
* symmetry: C2/c (15)

---

# 6
The following is a DFT calculation (PBE) of an optimized crystal structure of LiPr4Sm.

Cell: 3.704 3.704 14.589 Å, 90.00 90.00 90.00°
Atoms (fractional coordinates):
Li 0.000 0.000 0.000
Pr 0.000 0.000 0.322
Pr 0.000 0.000 0.678
Pr 0.500 0.500 0.145
Pr 0.500 0.500 0.855
Sm 0.500 0.500 0.500

Computed properties:
* formation energy from the elements: 43 meV per atom
* symmetry: P4/mmm (123)

---

# 7
The following is a DFT calculation (PBE) of an optimized crystal structure of Cr2W.

Cell: 4.189 4.189 2.623 Å, 90.00 90.00 120.00°
Atoms (fractional coordinates):
Cr 0.333 0.667 0.340
Cr 0.667 0.333 0.660
W 0.000 0.000 0.000

Computed properties:
* formation energy from the elements: 85 meV per atom
* energy above the most stable polymorph in this dataset: 0.031 eV per atom
* symmetry: P-3m1 (164)

---

# 8
The following is a DFT calculation (PBE) of an optimized crystal structure of Pa2Ga2Pd7.

Cell: 7.683 7.683 7.683 Å, 152.39 105.40 81.27°
Atoms (fractional coordinates):
Pa 0.212 0.000 0.212
Pa 0.788 0.000 0.788
Ga 0.333 0.833 0.500
Ga 0.667 0.167 0.500
Pd 0.117 0.617 0.500
Pd 0.128 0.323 0.806
Pd 0.483 0.677 0.806
Pd 0.500 0.500 0.000
Pd 0.517 0.323 0.194
Pd 0.872 0.677 0.194
Pd 0.883 0.383 0.500

Computed properties:
* formation energy from the elements: -619 meV per atom
* symmetry: Immm (71)

---

# 9
The following is a DFT calculation (PBE) of an optimized crystal structure of La2Tb3CeS6.

Cell: 9.014 9.014 8.108 Å, 103.71 103.71 25.58°
Atoms (fractional coordinates):
La 0.165 0.165 0.331
La 0.835 0.835 0.669
Tb 0.167 0.167 0.835
Tb 0.500 0.500 0.500
Tb 0.833 0.833 0.165
Ce 0.500 0.500 0.000
S 0.005 0.005 0.745
S 0.331 0.331 0.928
S 0.337 0.337 0.406
S 0.663 0.663 0.594
S 0.669 0.669 0.072
S 0.995 0.995 0.255

Computed properties:
* symmetry: C2/m (12)

---

# 10
The following is a DFT calculation (PBE) of an optimized crystal structure of CSeF.

Cell: 4.115 5.666 6.066 Å, 108.40 107.71 98.47°
Atoms (fractional coordinates):
C 0.000 0.000 0.000
C 0.343 0.966 0.055
Se 0.798 0.211 0.217
Se 0.813 0.875 0.657
F 0.368 0.721 0.964
F 0.483 0.540 0.518

Computed properties:
* energy above the most stable polymorph in this dataset: 0.246 eV per atom
* symmetry: P1 (1)

---

# 11
The following is a DFT calculation (PBE) of an optimized crystal structure of LiBiP2.

Cell: 7.196 7.196 7.196 Å, 131.04 131.04 71.75°
Atoms (fractional coordinates):
Li 0.000 0.000 0.000
Li 0.750 0.250 0.500
Bi 0.250 0.750 0.500
Bi 0.500 0.500 0.000
P 0.106 0.625 0.981
P 0.375 0.356 0.481
P 0.644 0.125 0.019
P 0.875 0.894 0.519

Computed properties:
* formation energy from the elements: 123 meV per atom
* symmetry: I-42d (122)

---

# 12
The following is a DFT calculation (PBE) of an optimized crystal structure of YCdAu2Se.

Cell: 5.000 5.000 5.916 Å, 90.00 90.00 90.00°
Atoms (fractional coordinates):
Y 0.000 0.000 0.000
Cd 0.000 0.000 0.500
Au 0.000 0.500 0.500
Au 0.500 0.000 0.500
Se 0.500 0.500 0.000

Computed properties:
* symmetry: P4/mmm (123)

---

no.,calculated volume (Å³/atom),total energy (eV per formula unit)
1,31.66,-26.57
2,28.22,-22.36
3,16.35,-33.13
4,6.77,-16.73
5,31.81,-25.05
6,33.35,-25.50
7,13.29,-31.95
8,18.10,-68.20
9,22.99,-79.30
10,20.52,-14.82
11,25.92,-16.12
12,29.58,-16.14